Entry 1:
! HfVC2 (PBE, relaxed); values from VASP
&SYSTEM
  ibrav = 0, nat = 8, ntyp = 3
/
ATOMIC_SPECIES
C 12.01 C.upf
Hf 178.49 Hf.upf
V 50.94 V.upf
ATOMIC_POSITIONS crystal
C 0.586 0.125 0.250
C 0.164 0.625 0.250
C 0.375 0.414 0.750
C 0.875 0.836 0.750
Hf 0.000 0.000 0.000
Hf 0.750 0.250 0.500
V 0.500 0.500 0.000
V 0.250 0.750 0.500
CELL_PARAMETERS angstrom
4.782 0.000 0.000
0.000 4.782 0.000
2.391 2.391 4.746
! Calculated formation energy ... -50 meV per atom
! Space-group type ... I-42d, No. 122
! Total moment ... 0.00 μB/f.u.

Entry 2:
! MgPIO2 (PBE, relaxed); values from VASP
&SYSTEM
  ibrav = 0, nat = 5, ntyp = 4
/
ATOMIC_SPECIES
I 126.90 I.upf
P 30.97 P.upf
Mg 24.30 Mg.upf
O 16.00 O.upf
ATOMIC_POSITIONS crystal
I 0.000 0.000 0.500
P 0.000 0.000 0.000
Mg 0.500 0.500 0.500
O 0.000 0.500 0.000
O 0.500 0.000 0.000
CELL_PARAMETERS angstrom
3.858 0.000 0.000
0.000 3.858 0.000
0.000 0.000 5.443
! ΔE_f (raw) ... -1.7 eV per formula unit
! ΔE to the lowest computed polymorph ... 0.000 eV per atom
! Space-group type ... P4/mmm, No. 123
! Total moment ... 0.00 μB/f.u.

Entry 3:
! CrCdMo2 (PBE, relaxed); values from VASP
&SYSTEM
  ibrav = 0, nat = 4, ntyp = 3
/
ATOMIC_SPECIES
Cd 112.41 Cd.upf
Cr 52.00 Cr.upf
Mo 95.94 Mo.upf
ATOMIC_POSITIONS crystal
Cd 0.000 0.571 0.502
Cr 0.500 0.711 0.798
Mo 0.000 0.970 0.984
Mo 0.500 0.248 0.217
CELL_PARAMETERS angstrom
-3.861 -0.489 -2.077
0.005 -2.645 0.614
-2.616 -0.009 4.865
! Calculated formation energy ... 417 meV per atom
! Space-group type ... Pm, No. 6
! Total moment ... 0.00 μB/f.u.

Entry 4:
! TmCd8 (PBE, relaxed); values from VASP
&SYSTEM
  ibrav = 0, nat = 9, ntyp = 2
/
ATOMIC_SPECIES
Tm 168.93 Tm.upf
Cd 112.41 Cd.upf
ATOMIC_POSITIONS crystal
Tm 0.000 0.000 0.000
Cd 0.330 0.000 0.340
Cd 0.670 0.000 0.660
Cd 0.330 0.340 0.000
Cd 0.661 0.337 0.337
Cd 0.000 0.337 0.663
Cd 0.000 0.663 0.337
Cd 0.339 0.663 0.663
Cd 0.670 0.660 0.000
CELL_PARAMETERS angstrom
4.361 0.023 1.347
2.024 6.688 1.071
0.213 -0.420 7.054
! Calculated formation energy ... -106 meV per atom
! Space-group type ... C2/m, No. 12
! Total moment ... 0.00 μB/f.u.

Entry 5:
! GaPHIrPtS (PBE, relaxed); values from VASP
&SYSTEM
  ibrav = 0, nat = 6, ntyp = 6
/
ATOMIC_SPECIES
Ga 69.72 Ga.upf
P 30.97 P.upf
H 1.01 H.upf
Ir 192.22 Ir.upf
Pt 195.08 Pt.upf
S 32.06 S.upf
ATOMIC_POSITIONS crystal
Ga 0.842 0.638 0.931
P 0.329 0.082 0.569
H 0.815 0.071 0.193
Ir 0.830 0.342 0.455
Pt 0.831 0.119 0.885
S 0.328 0.661 0.326
CELL_PARAMETERS angstrom
3.487 -0.001 0.000
-0.012 4.999 -0.007
-0.038 -1.051 5.250
! ΔE to the lowest computed polymorph ... 0.097 eV per atom
! Space-group type ... P1, No. 1
! Total moment ... 0.00 μB/f.u.

Entry 6:
! Ni2SeBr (PBE, relaxed); values from VASP
&SYSTEM
  ibrav = 0, nat = 4, ntyp = 3
/
ATOMIC_SPECIES
Br 79.90 Br.upf
Ni 58.69 Ni.upf
Se 78.96 Se.upf
ATOMIC_POSITIONS crystal
Br 0.500 0.998 0.778
Ni 0.000 0.999 0.050
Ni 0.500 0.003 0.361
Se 0.000 0.500 0.311
CELL_PARAMETERS angstrom
3.570 0.000 0.000
0.000 3.482 -0.307
0.000 0.513 5.847
! ΔE_f (raw) ... -0.5 eV per formula unit
! ΔE to the lowest computed polymorph ... 0.012 eV per atom
! Space-group type ... Pm, No. 6
! Total moment ... 0.00 μB/f.u.

Entry 7:
! CuHg2As (PBE, relaxed); values from VASP
&SYSTEM
  ibrav = 0, nat = 4, ntyp = 3
/
ATOMIC_SPECIES
As 74.92 As.upf
Cu 63.55 Cu.upf
Hg 200.59 Hg.upf
ATOMIC_POSITIONS crystal
As 0.500 0.500 0.250
Cu 0.500 0.500 0.750
Hg 0.000 0.000 0.966
Hg 0.000 0.000 0.534
CELL_PARAMETERS angstrom
3.014 0.000 0.000
0.000 3.014 0.000
0.000 0.000 8.684
! Calculated formation energy ... 306 meV per atom
! Space-group type ... P4/mmm, No. 123
! Total moment ... 0.00 μB/f.u.

Entry 8:
! CaGdPd4 (PBE, relaxed); values from VASP
&SYSTEM
  ibrav = 0, nat = 6, ntyp = 3
/
ATOMIC_SPECIES
Ca 40.08 Ca.upf
Gd 157.25 Gd.upf
Pd 106.42 Pd.upf
ATOMIC_POSITIONS crystal
Ca 0.250 0.250 0.250
Gd 0.000 0.000 0.000
Pd 0.625 0.625 0.125
Pd 0.625 0.125 0.625
Pd 0.625 0.625 0.625
Pd 0.125 0.625 0.625
CELL_PARAMETERS angstrom
-2.923 -4.566 -0.670
1.735 -3.873 -3.439
1.866 -4.748 1.951
! Calculated formation energy ... -745 meV per atom
! Space-group type ... F-43m, No. 216
! Total moment ... 7.32 μB/f.u.

Entry 9:
! UCoI (PBE, relaxed); values from VASP
&SYSTEM
  ibrav = 0, nat = 6, ntyp = 3
/
ATOMIC_SPECIES
U 238.03 U.upf
Co 58.93 Co.upf
I 126.90 I.upf
ATOMIC_POSITIONS crystal
U 0.634 0.634 0.585
U 0.119 0.119 0.722
Co 0.459 0.459 0.465
Co 0.294 0.294 0.842
I 0.291 0.291 0.341
I 0.463 0.463 0.966
CELL_PARAMETERS angstrom
3.750 -0.094 1.119
1.792 3.295 1.119
4.249 2.455 13.196
! ΔE_f (raw) ... -0.5 eV per formula unit
! Space-group type ... C2/m, No. 12
! Total moment ... 0.00 μB/f.u.

Entry 10:
! TlHg2Ir (PBE, relaxed); values from VASP
&SYSTEM
  ibrav = 0, nat = 4, ntyp = 3
/
ATOMIC_SPECIES
Hg 200.59 Hg.upf
Ir 192.22 Ir.upf
Tl 204.38 Tl.upf
ATOMIC_POSITIONS crystal
Hg 0.000 0.000 0.050
Hg 0.000 0.000 0.450
Ir 0.500 0.500 0.250
Tl 0.500 0.500 0.750
CELL_PARAMETERS angstrom
3.171 0.000 0.000
0.000 3.171 0.000
0.000 0.000 8.868
! Calculated formation energy ... 402 meV per atom
! ΔE to the lowest computed polymorph ... 0.124 eV per atom
! Space-group type ... P4/mmm, No. 123
! Total moment ... 0.00 μB/f.u.

Entry 11:
! BePdC2 (PBE, relaxed); values from VASP
&SYSTEM
  ibrav = 0, nat = 8, ntyp = 3
/
ATOMIC_SPECIES
Be 9.01 Be.upf
C 12.01 C.upf
Pd 106.42 Pd.upf
ATOMIC_POSITIONS crystal
Be 0.500 0.500 0.000
Be 0.250 0.750 0.500
C 0.589 0.125 0.250
C 0.161 0.625 0.250
C 0.375 0.411 0.750
C 0.875 0.839 0.750
Pd 0.000 0.000 0.000
Pd 0.750 0.250 0.500
CELL_PARAMETERS angstrom
4.337 0.000 0.000
0.000 4.337 0.000
2.169 2.169 4.618
! Calculated formation energy ... 1242 meV per atom
! Space-group type ... I-42d, No. 122
! Total moment ... 0.00 μB/f.u.

Entry 12:
! SrYSc2 (PBE, relaxed); values from VASP
&SYSTEM
  ibrav = 0, nat = 4, ntyp = 3
/
ATOMIC_SPECIES
Sc 44.96 Sc.upf
Sr 87.62 Sr.upf
Y 88.91 Y.upf
ATOMIC_POSITIONS crystal
Sc 0.000 0.000 0.000
Sc 0.500 0.500 0.000
Sr 0.500 0.000 0.500
Y 0.000 0.500 0.500
CELL_PARAMETERS angstrom
-5.432 0.479 1.538
-1.309 -4.466 -3.233
0.644 -2.370 3.012
! Calculated formation energy ... 300 meV per atom
! ΔE to the lowest computed polymorph ... 0.150 eV per atom
! Space-group type ... P4/mmm, No. 123
! Total moment ... 0.01 μB/f.u.

Entry 13:
! Rb2HgN2 (PBE, relaxed); values from VASP
&SYSTEM
  ibrav = 0, nat = 10, ntyp = 3
/
ATOMIC_SPECIES
Hg 200.59 Hg.upf
Rb 85.47 Rb.upf
N 14.01 N.upf
ATOMIC_POSITIONS crystal
Hg 0.000 0.000 0.000
Hg 0.500 0.500 0.000
Rb 0.249 0.749 0.500
Rb 0.749 0.751 0.500
Rb 0.751 0.251 0.500
Rb 0.251 0.249 0.500
N 0.546 0.046 0.000
N 0.046 0.454 0.000
N 0.454 0.954 0.000
N 0.954 0.546 0.000
CELL_PARAMETERS angstrom
9.014 0.000 0.000
0.000 9.014 0.000
0.000 0.000 3.926
! ΔE_f (raw) ... -0.3 eV per formula unit
! Space-group type ... P4/mbm, No. 127
! Total moment ... 0.82 μB/f.u.

Entry 14:
! NdDy4N4 (PBE, relaxed); values from VASP
&SYSTEM
  ibrav = 0, nat = 9, ntyp = 3
/
ATOMIC_SPECIES
Nd 144.24 Nd.upf
Dy 162.50 Dy.upf
N 14.01 N.upf
ATOMIC_POSITIONS crystal
Nd 0.000 0.000 0.000
Dy 0.610 0.575 0.205
Dy 0.390 0.425 0.795
Dy 0.185 0.205 0.425
Dy 0.815 0.795 0.575
N 0.899 0.407 0.795
N 0.101 0.593 0.205
N 0.306 0.795 0.593
N 0.694 0.205 0.407
CELL_PARAMETERS angstrom
-3.797 -2.645 -1.662
1.597 -4.348 -4.000
-1.218 -4.949 3.386
! ΔE_f (raw) ... -13.0 eV per formula unit
! Space-group type ... I4/m, No. 87
! Total moment ... 0.00 μB/f.u.

Entry 15:
! LaCdRh3 (PBE, relaxed); values from VASP
&SYSTEM
  ibrav = 0, nat = 5, ntyp = 3
/
ATOMIC_SPECIES
Cd 112.41 Cd.upf
Rh 102.91 Rh.upf
La 138.91 La.upf
ATOMIC_POSITIONS crystal
Cd 0.000 0.000 0.000
Rh 0.000 0.500 0.000
Rh 0.000 0.000 0.500
Rh 0.500 0.000 0.000
La 0.500 0.500 0.500
CELL_PARAMETERS angstrom
-2.032 -1.896 4.026
-2.732 -2.963 -2.774
3.513 -3.401 0.172
! Calculated formation energy ... 544 meV per atom
! ΔE to the lowest computed polymorph ... 0.000 eV per atom
! Space-group type ... Pm-3m, No. 221
! Total moment ... 1.15 μB/f.u.

Entry 16:
! CeSn2S4 (PBE, relaxed); values from VASP
&SYSTEM
  ibrav = 0, nat = 14, ntyp = 3
/
ATOMIC_SPECIES
Ce 140.12 Ce.upf
Sn 118.71 Sn.upf
S 32.06 S.upf
ATOMIC_POSITIONS crystal
Ce 0.618 0.236 0.750
Ce 0.382 0.764 0.250
Sn 0.129 0.258 0.434
Sn 0.871 0.742 0.934
Sn 0.129 0.258 0.066
Sn 0.871 0.742 0.566
S 0.787 0.574 0.125
S 0.787 0.574 0.375
S 0.213 0.426 0.875
S 0.213 0.426 0.625
S 0.977 0.954 0.750
S 0.023 0.046 0.250
S 0.500 0.000 0.000
S 0.500 0.000 0.500
CELL_PARAMETERS angstrom
-3.082 0.145 2.394
1.217 -6.857 -1.202
8.069 -0.394 10.414
! ΔE_f (raw) ... -6.7 eV per formula unit
! ΔE to the lowest computed polymorph ... 0.000 eV per atom
! Space-group type ... Cmcm, No. 63
! Total moment ... 0.19 μB/f.u.

Entry 17:
! Hg3IF (PBE, relaxed); values from VASP
&SYSTEM
  ibrav = 0, nat = 5, ntyp = 3
/
ATOMIC_SPECIES
I 126.90 I.upf
Hg 200.59 Hg.upf
F 19.00 F.upf
ATOMIC_POSITIONS crystal
I 0.000 0.000 0.000
Hg 0.000 0.500 0.000
Hg 0.000 0.000 0.500
Hg 0.500 0.000 0.000
F 0.500 0.500 0.500
CELL_PARAMETERS angstrom
6.131 0.000 0.000
0.000 6.131 0.000
0.000 0.000 6.131
! ΔE_f (raw) ... 0.3 eV per formula unit
! ΔE to the lowest computed polymorph ... 0.237 eV per atom
! Space-group type ... Pm-3m, No. 221
! Total moment ... 0.31 μB/f.u.

Entry 18:
! Ag2IrPb2 (PBE, relaxed); values from VASP
&SYSTEM
  ibrav = 0, nat = 5, ntyp = 3
/
ATOMIC_SPECIES
Pb 207.20 Pb.upf
Ir 192.22 Ir.upf
Ag 107.87 Ag.upf
ATOMIC_POSITIONS crystal
Pb 0.750 0.250 0.500
Pb 0.250 0.750 0.500
Ir 0.000 0.000 0.000
Ag 0.404 0.404 0.193
Ag 0.596 0.596 0.807
CELL_PARAMETERS angstrom
4.284 0.000 0.000
0.000 4.284 0.000
2.142 2.142 6.566
! Calculated formation energy ... 1006 meV per atom
! ΔE to the lowest computed polymorph ... 0.597 eV per atom
! Space-group type ... I4/mmm, No. 139
! Total moment ... 0.00 μB/f.u.

Entry 19:
! YTaIn2 (PBE, relaxed); values from VASP
&SYSTEM
  ibrav = 0, nat = 4, ntyp = 3
/
ATOMIC_SPECIES
In 114.82 In.upf
Ta 180.95 Ta.upf
Y 88.91 Y.upf
ATOMIC_POSITIONS crystal
In 0.000 0.000 0.000
In 0.500 0.500 0.000
Ta 0.500 0.000 0.500
Y 0.000 0.500 0.500
CELL_PARAMETERS angstrom
-2.373 3.536 -3.463
-3.608 -1.530 3.843
0.923 2.405 1.824
! Calculated formation energy ... 30 meV per atom
! Space-group type ... Cmmm, No. 65
! Total moment ... 0.00 μB/f.u.

Entry 20:
! La2YIr (PBE, relaxed); values from VASP
&SYSTEM
  ibrav = 0, nat = 4, ntyp = 3
/
ATOMIC_SPECIES
La 138.91 La.upf
Y 88.91 Y.upf
Ir 192.22 Ir.upf
ATOMIC_POSITIONS crystal
La 0.058 0.058 0.826
La 0.275 0.275 0.175
Y 0.501 0.501 0.498
Ir 0.666 0.666 0.002
CELL_PARAMETERS angstrom
4.076 0.000 0.000
2.038 3.530 0.000
2.038 1.177 9.346
! Calculated formation energy ... -314 meV per atom
! ΔE to the lowest computed polymorph ... 0.182 eV per atom
! Space-group type ... R3m, No. 160
! Total moment ... 0.83 μB/f.u.

Entry 21:
! NaVCd (PBE, relaxed); values from VASP
&SYSTEM
  ibrav = 0, nat = 6, ntyp = 3
/
ATOMIC_SPECIES
Na 22.99 Na.upf
Cd 112.41 Cd.upf
V 50.94 V.upf
ATOMIC_POSITIONS crystal
Na 0.000 0.000 0.000
Na 0.000 0.000 0.500
Cd 0.333 0.667 0.750
Cd 0.667 0.333 0.250
V 0.333 0.667 0.250
V 0.667 0.333 0.750
CELL_PARAMETERS angstrom
-4.022 -1.159 -2.939
4.261 -2.816 -0.269
-2.061 -3.522 4.210
! Calculated formation energy ... 641 meV per atom
! ΔE to the lowest computed polymorph ... 0.486 eV per atom
! Space-group type ... P6_3/mmc, No. 194
! Total moment ... 3.59 μB/f.u.

Entry 22:
! PuSi2Pd (PBE, relaxed); values from VASP
&SYSTEM
  ibrav = 0, nat = 4, ntyp = 3
/
ATOMIC_SPECIES
Si 28.09 Si.upf
Pd 106.42 Pd.upf
Pu 244.00 Pu.upf
ATOMIC_POSITIONS crystal
Si 0.000 0.000 0.500
Si 0.000 0.500 0.000
Pd 0.500 0.000 0.000
Pu 0.500 0.500 0.500
CELL_PARAMETERS angstrom
4.044 0.000 0.000
0.000 4.181 0.000
0.000 0.000 4.181
! ΔE_f (raw) ... -1.2 eV per formula unit
! Space-group type ... P4/mmm, No. 123
! Total moment ... 5.15 μB/f.u.

Entry 23:
! HoCuH8Ir2 (PBE, relaxed); values from VASP
&SYSTEM
  ibrav = 0, nat = 12, ntyp = 4
/
ATOMIC_SPECIES
Ho 164.93 Ho.upf
Cu 63.55 Cu.upf
H 1.01 H.upf
Ir 192.22 Ir.upf
ATOMIC_POSITIONS crystal
Ho 0.500 0.500 0.500
Cu 0.000 0.000 0.000
H 0.929 0.479 0.663
H 0.758 0.382 0.103
H 0.071 0.521 0.337
H 0.242 0.618 0.897
H 0.584 0.017 0.320
H 0.416 0.983 0.680
H 0.079 0.017 0.320
H 0.921 0.983 0.680
Ir 0.289 0.271 0.151
Ir 0.711 0.729 0.849
CELL_PARAMETERS angstrom
-1.739 -0.293 -4.031
2.273 -2.439 -3.205
-2.369 -5.541 -0.977
! Space-group type ... C2/m, No. 12
! Total moment ... 0.00 μB/f.u.

Entry 24:
! SrNb2GaSb (PBE, relaxed); values from VASP
&SYSTEM
  ibrav = 0, nat = 5, ntyp = 4
/
ATOMIC_SPECIES
Sb 121.76 Sb.upf
Nb 92.91 Nb.upf
Ga 69.72 Ga.upf
Sr 87.62 Sr.upf
ATOMIC_POSITIONS crystal
Sb 0.000 0.000 0.000
Nb 0.000 0.000 0.500
Nb 0.500 0.000 0.000
Ga 0.500 0.500 0.500
Sr 0.000 0.500 0.000
CELL_PARAMETERS angstrom
-0.245 -4.898 1.701
5.719 -0.777 -1.416
1.390 1.578 4.745
! ΔE_f (raw) ... 5.2 eV per formula unit
! Space-group type ... P4/mmm, No. 123
! Total moment ... 2.29 μB/f.u.

Entry 25:
! HfCdNi (PBE, relaxed); values from VASP
&SYSTEM
  ibrav = 0, nat = 18, ntyp = 3
/
ATOMIC_SPECIES
Cd 112.41 Cd.upf
Ni 58.69 Ni.upf
Hf 178.49 Hf.upf
ATOMIC_POSITIONS crystal
Cd 0.500 0.000 0.667
Cd 0.000 0.000 0.500
Cd 0.000 0.000 0.833
Cd 0.000 0.000 0.167
Cd 0.500 0.500 0.000
Cd 0.000 0.500 0.333
Ni 0.389 0.778 0.167
Ni 0.778 0.389 0.833
Ni 0.611 0.389 0.500
Ni 0.611 0.222 0.167
Ni 0.389 0.611 0.500
Ni 0.222 0.611 0.833
Hf 0.500 0.500 0.288
Hf 0.000 0.500 0.621
Hf 0.500 0.500 0.712
Hf 0.000 0.500 0.045
Hf 0.500 0.000 0.955
Hf 0.500 0.000 0.379
CELL_PARAMETERS angstrom
-0.104 -5.881 -1.581
5.316 2.772 1.072
-0.658 -2.840 10.612
! Calculated formation energy ... -9 meV per atom
! Space-group type ... P6_222, No. 180
! Total moment ... 0.00 μB/f.u.

Q: Which calculated total energy values were calculated for the entries above? A: -75.4; -20.2; -30.5; -12.8; -32.2; -17.2; -8.1; -41.3; -40.9; -10.2; -44.8; -19.6; -38.5; -69.5; -25.2; -74.3; -4.1; -16.9; -23.7; -26.4; -18.9; -31.5; -55.1; -23.8; -100.1, in eV/cell.
Q: Which density of states at the Fermi level values were calculated for the entries above? A: 2.34; 2.17; 3.01; 2.89; 1.33; 4.34; 1.19; 6.17; 2.42; 2.60; 1.42; 7.81; 4.64; 2.83; 6.83; 2.76; 7.79; 4.03; 2.64; 4.66; 4.42; 11.08; 1.78; 4.51; 1.97, in states/eV/f.u..